A plane-wave DFT calculation with PBE+U was carried out for a relaxed structure of BaTlVF6.

Results
raw total energy: -49.895 eV per formula unit

abc: 4.7001 5.9175 5.9209
angles: 60.11 89.95 89.97
Space group P1 (No. 1)
Inequivalent atoms, fractional coordinates:
Ba: 0.0000 0.0000 0.0000 [1 per cell]
Tl: 0.5598 0.6668 0.6671 [1 per cell]
V: 0.3060 0.3335 0.3338 [1 per cell]
F: 0.0654 0.4907 0.4927 [1 per cell]
F: 0.0662 0.0168 0.4910 [1 per cell]
F: 0.0664 0.4925 0.0171 [1 per cell]
F: 0.5184 0.1648 0.6700 [1 per cell]
F: 0.5188 0.6695 0.1666 [1 per cell]
F: 0.5200 0.1666 0.1655 [1 per cell]